A plane-wave DFT calculation with meta-GGA SCAN was carried out for a PBEsol-optimized structure of Ta2AlSe.

Cell and atoms, written as POSCAR:
```
Ta2AlSe
1.0
1.5159 0.8752 8.5495
-1.5159 0.8752 8.5495
0.0000 -1.7504 8.5495
Ta Al Se
2 1 1
Direct
0.2446 0.2446 0.2446
0.7554 0.7554 0.7554
0.0000 0.0000 0.0000
0.5000 0.5000 0.5000
```

Properties
Offset from the most stable computed form: 0.036 eV/atom
Final energy: -40.29 eV per atom
E_form (uncorrected): -0.04 eV per atom



A plane-wave DFT calculation with meta-GGA SCAN was carried out for a PBEsol-optimized structure of Ta2AlSe.

Cell and atoms, written as POSCAR:
```
Ta2AlSe
1.0
1.7671 -2.3343 0.0000
1.7671 2.3343 0.0000
0.0000 0.0000 8.8410
Ta Al Se
2 1 1
Direct
0.0000 0.0000 0.0000
0.5000 0.5000 0.2459
0.0000 0.0000 0.4765
0.5000 0.5000 0.7831
```

Properties
Offset from the most stable computed form: 0.093 eV/atom
Final energy: -40.23 eV per atom
E_form (uncorrected): 0.02 eV per atom



A plane-wave DFT calculation with meta-GGA SCAN was carried out for a PBEsol-optimized structure of TaAlTeSe2.

Cell and atoms, written as POSCAR:
```
TaAlTeSe2
1.0
4.9036 0.0000 0.0000
0.0000 4.9036 0.0000
0.0000 0.0000 5.5923
Ta Al Te Se
1 1 1 2
Direct
0.0000 0.0000 0.0000
0.5000 0.5000 0.5000
0.0000 0.0000 0.5000
0.0000 0.5000 0.0000
0.5000 0.0000 0.0000
```

Properties
Final energy: -30.33 eV per atom
E_form (uncorrected): 0.01 eV per atom



A plane-wave DFT calculation with meta-GGA SCAN was carried out for a PBEsol-optimized structure of AlTcSe2.

Cell and atoms, written as POSCAR:
```
AlTcSe2
1.0
1.5689 -2.5094 0.0000
1.5689 2.5094 0.0000
0.0000 0.0000 9.1509
Al Tc Se
1 1 2
Direct
0.0000 0.0000 0.0000
0.5000 0.5000 0.7782
0.0000 0.0000 0.5730
0.5000 0.5000 0.2169
```

Properties
Final energy: -20.62 eV per atom
E_form (uncorrected): 0.12 eV per atom



A plane-wave DFT calculation with meta-GGA SCAN was carried out for a PBEsol-optimized structure of AlTcSe2.

Cell and atoms, written as POSCAR:
```
AlTcSe2
1.0
3.0705 0.0000 0.0000
0.0000 3.0705 0.0000
0.0000 0.0000 6.9519
Al Tc Se
1 1 2
Direct
0.0000 0.0000 0.0000
0.0000 0.0000 0.5000
0.5000 0.5000 0.2806
0.5000 0.5000 0.7194
```

Properties
Final energy: -20.61 eV per atom
E_form (uncorrected): 0.14 eV per atom



A plane-wave DFT calculation with meta-GGA SCAN was carried out for a PBEsol-optimized structure of Al2TcSe.

Cell and atoms, written as POSCAR:
```
Al2TcSe
1.0
3.3873 0.0000 0.0000
0.0000 3.3873 0.0000
0.0000 0.0000 5.5041
Al Tc Se
2 1 1
Direct
0.0000 0.0000 0.0000
0.5000 0.5000 0.2793
0.5000 0.5000 0.8272
0.0000 0.0000 0.5023
```

Properties
Final energy: -17.71 eV per atom
E_form (uncorrected): -0.05 eV per atom



A plane-wave DFT calculation with meta-GGA SCAN was carried out for a PBEsol-optimized structure of AlTcSe2.

Cell and atoms, written as POSCAR:
```
AlTcSe2
1.0
1.6729 0.9659 7.8259
-1.6729 0.9659 7.8259
0.0000 -1.9317 7.8259
Al Tc Se
1 1 2
Direct
0.0000 0.0000 0.0000
0.5000 0.5000 0.5000
0.3992 0.3992 0.3992
0.6008 0.6008 0.6008
```

Properties
Final energy: -20.55 eV per atom
E_form (uncorrected): 0.19 eV per atom



A plane-wave DFT calculation with meta-GGA SCAN was carried out for a PBEsol-optimized structure of AlTcSe2.

Cell and atoms, written as POSCAR:
```
AlTcSe2
1.0
1.5372 0.8875 8.6847
-1.5372 0.8875 8.6847
0.0000 -1.7750 8.6847
Al Tc Se
1 1 2
Direct
0.0000 0.0000 0.0000
0.5000 0.5000 0.5000
0.2357 0.2357 0.2357
0.7643 0.7643 0.7643
```

Properties
Final energy: -20.71 eV per atom
E_form (uncorrected): 0.04 eV per atom



A plane-wave DFT calculation with meta-GGA SCAN was carried out for a PBEsol-optimized structure of Al2TcSe.

Cell and atoms, written as POSCAR:
```
Al2TcSe
1.0
1.5212 0.8783 8.1637
-1.5212 0.8783 8.1637
0.0000 -1.7565 8.1637
Al Tc Se
2 1 1
Direct
0.0000 0.0000 0.0000
0.2442 0.2442 0.2442
0.4967 0.4967 0.4967
0.7596 0.7596 0.7596
```

Properties
Final energy: -17.67 eV per atom
E_form (uncorrected): -0.01 eV per atom



A plane-wave DFT calculation with meta-GGA SCAN was carried out for a PBEsol-optimized structure of Al2TcSe.

Cell and atoms, written as POSCAR:
```
Al2TcSe
1.0
4.1391 0.0000 0.0000
0.0000 1.6228 4.6982
0.0000 -1.6228 4.6982
Al Tc Se
2 1 1
Direct
0.0000 0.0000 0.0000
0.5000 0.3124 0.3124
0.5000 0.5861 0.5861
0.0000 0.7338 0.7338
```

Properties
Final energy: -17.87 eV per atom
E_form (uncorrected): -0.21 eV per atom



A plane-wave DFT calculation with meta-GGA SCAN was carried out for a PBEsol-optimized structure of AlTcSe2.

Cell and atoms, written as POSCAR:
```
AlTcSe2
1.0
2.8945 -3.5542 0.0000
2.8945 3.5542 0.0000
-2.8857 0.0000 3.5166
Al Tc Se
1 1 2
Direct
0.0000 0.0000 0.0000
0.5000 0.5000 0.0000
0.0000 0.5000 0.5000
0.5000 0.0000 0.5000
```

Properties
Final energy: -20.44 eV per atom
E_form (uncorrected): 0.30 eV per atom



A plane-wave DFT calculation with meta-GGA SCAN was carried out for a PBEsol-optimized structure of AlTeSe.

Cell and atoms, written as POSCAR:
```
AlTeSe
1.0
0.0000 3.3066 3.3066
3.3066 0.0000 3.3066
3.3066 3.3066 0.0000
Al Te Se
1 1 1
Direct
0.0000 0.0000 0.0000
0.2500 0.2500 0.2500
0.7500 0.7500 0.7500
```

Properties
Final energy: -21.62 eV per atom
E_form (uncorrected): 0.07 eV per atom



Looking at volume for the records above, in order, we have 17.01, 18.23, 26.89, 18.01, 16.39, 15.79, 18.97, 17.77, 16.36, 15.78, 18.09, 24.10 Å³/atom.